Entry 1:
A plane-wave DFT calculation with meta-GGA SCAN was carried out for Mn2SiAu at its PBEsol-relaxed geometry.

Values from the calculation:
Crystal system ... trigonal
M_tot ... 18.9 μB/cell
ΔE_f (raw) ... -0.040 eV per atom
Calculated density ... 10.7 g cm⁻³

Cell lengths 2.6803, 2.6803, 24.9550 Å; angles 90.00, 90.00, 120.00 degrees
Closest atoms and distances in Å follow each position.
Space group R-3m (No. 166, hexagonal axes)
Inequivalent atoms, fractional coordinates:
Mn: 0.0000 0.0000 0.2421 (multiplicity 6)  3 Si 2.44, 6 Mn 2.68
Si: 0.0000 0.0000 0.5000 (multiplicity 3)  6 Mn 2.44, 6 Si 2.68
Au: 0.0000 0.0000 0.0000 (multiplicity 3)  6 Au 2.68, 6 Mn 2.75

=====

Entry 2:
A plane-wave DFT calculation with meta-GGA SCAN was carried out for MnSiAu2 at its PBEsol-relaxed geometry.

Values from the calculation:
Crystal system ... orthorhombic
M_tot ... 6.3 μB/cell
ΔE_f (raw) ... -0.077 eV per atom
Calculated density ... 13.5 g cm⁻³

Cell lengths 4.0410, 4.0752, 7.1107 Å; angles 90.00, 90.00, 90.00 degrees
Closest atoms and distances in Å follow each position.
Space group Cmm2 (No. 35)
Inequivalent atoms, fractional coordinates:
Mn: 0.0000 0.0000 0.0000 (multiplicity 2)  4 Si 2.43-2.44
Si: 0.0000 0.5000 0.1898 (multiplicity 2)  4 Mn 2.43-2.44, 4 Au 2.67-2.69
Au: 0.0000 0.0000 0.4363 (multiplicity 2)  4 Si 2.67-2.69, 8 Au 2.87-2.98
Au: 0.0000 0.5000 0.7423 (multiplicity 2)  4 Mn 2.73-2.74, 8 Au 2.87-2.98

=====

Entry 3:
A plane-wave DFT calculation with meta-GGA SCAN was carried out for Mn2SiAu at its PBEsol-relaxed geometry.

Values from the calculation:
Crystal system ... tetragonal
M_tot ... 13.3 μB/cell
ΔE_f (raw) ... -0.197 eV per atom
Calculated density ... 10.5 g cm⁻³

Cell lengths 3.7134, 3.7134, 7.7031 Å; angles 90.00, 90.00, 90.00 degrees
Closest atoms and distances in Å follow each position.
Space group I-4m2 (No. 119)
Inequivalent atoms, fractional coordinates:
Mn: 0.0000 0.0000 0.0000 (multiplicity 2)  4 Si 2.63, 4 Mn 2.68, 4 Au 2.68
Mn: 0.0000 0.5000 0.2500 (multiplicity 2)  4 Au 2.63, 4 Mn 2.68, 4 Si 2.68
Si: 0.0000 0.0000 0.5000 (multiplicity 2)  8 Mn 2.63-2.68, 4 Au 2.68
Au: 0.0000 0.5000 0.7500 (multiplicity 2)  8 Mn 2.63-2.68, 4 Si 2.68